1.
Density functional theory data (PBE-GGA) for a relaxed AgPPbO2 crystal.

Cell: 4.191 4.191 4.939 Å, 90.00 90.00 90.00°
Element x y z (fractional)
O 0.500 0.000 0.000
Pb 0.500 0.500 0.500
P 0.000 0.000 0.500
Ag 0.000 0.000 0.000
O 0.000 0.500 0.000

Properties
The value obtained for the total magnetization is 0.00 Bohr magnetons per cell. Its crystal system is tetragonal. Its raw formation energy is 0.327 eV/atom. Its energy above the lowest structure with this stoichiometry is 0.00 eV/f.u.

2.
Density functional theory data (PBE-GGA) for a relaxed AgP2PbO8 crystal.

Cell: 4.879 4.879 8.065 Å, 72.39 72.39 60.00°
Each line ends with the local moment (μB).
Element x y z (fractional)
O 0.276 0.970 0.175  0.06
P 0.745 0.745 0.764  0.00
Ag 0.000 0.000 0.000  0.31
O 0.186 0.186 0.441  0.06
Pb 0.500 0.500 0.500  0.00
O 0.579 0.276 0.175  0.06
O 0.421 0.724 0.825  0.06
O 0.724 0.030 0.825  0.06
O 0.030 0.421 0.825  0.06
P 0.255 0.255 0.236  0.00
O 0.970 0.579 0.175  0.06
O 0.814 0.814 0.559  0.06

Properties
The value obtained for the total magnetization is 0.90 Bohr magnetons per cell. Its crystal system is trigonal. Its raw formation energy is -1.386 eV/atom.

3.
Density functional theory data (PBE-GGA) for a relaxed AgPPbO2 crystal.

Cell: 4.135 4.135 5.787 Å, 90.00 90.00 90.00°
Each line ends with the local moment (μB).
Element x y z (fractional)
Ag 0.500 0.500 0.500  0.01
O 0.000 0.500 0.000  0.24
P 0.000 0.000 0.500  0.16
Pb 0.000 0.000 0.000  0.00
O 0.500 0.000 0.000  0.24

Properties
The value obtained for the total magnetization is 0.90 Bohr magnetons per cell. Its crystal system is tetragonal. Its raw formation energy is 0.347 eV/atom. Its energy above the lowest structure with this stoichiometry is 0.10 eV/f.u.

4.
Density functional theory data (PBE-GGA) for a relaxed Ag2P2PbO7 crystal.

Cell: 5.266 8.252 9.891 Å, 86.88 99.95 119.89°
Element x y z (fractional)
Ag 0.002 0.812 0.923
O 0.399 0.754 0.676
O 0.741 0.576 0.256
O 0.142 0.487 0.346
Pb 0.320 0.249 0.559
Ag 0.538 0.380 0.918
Ag 0.462 0.620 0.082
P 0.155 0.569 0.743
O 0.172 0.625 0.894
O 0.202 0.014 0.134
P 0.629 0.977 0.722
P 0.845 0.431 0.257
O 0.813 0.034 0.605
O 0.828 0.375 0.106
P 0.371 0.023 0.278
O 0.601 0.246 0.324
O 0.858 0.513 0.654
Pb 0.680 0.751 0.441
O 0.187 0.966 0.395
O 0.557 0.927 0.275
O 0.798 0.986 0.866
Ag 0.998 0.188 0.077
O 0.259 0.424 0.744
O 0.443 0.073 0.725

Properties
The value obtained for the total magnetization is 0.00 Bohr magnetons per cell. Its crystal system is triclinic. Its raw formation energy is -1.567 eV/atom. Its energy above the lowest structure with this stoichiometry is 0.13 eV/f.u.

5.
Density functional theory data (PBE-GGA) for a relaxed AgPPbO5 crystal.

Cell: 5.823 5.823 7.551 Å, 105.69 105.69 102.76°
Element x y z (fractional)
O 0.411 0.260 0.098
O 0.877 0.324 0.145
O 0.324 0.877 0.645
Ag 0.342 0.658 0.250
P 0.679 0.321 0.250
O 0.589 0.740 0.902
O 0.260 0.411 0.598
Pb 0.000 0.000 0.500
P 0.321 0.679 0.750
Ag 0.658 0.342 0.750
O 0.676 0.123 0.355
O 0.740 0.589 0.402
Pb 0.000 0.000 0.000
O 0.123 0.676 0.855
O 0.899 0.101 0.750
O 0.101 0.899 0.250

Properties
The value obtained for the total magnetization is 0.00 Bohr magnetons per cell. Its crystal system is monoclinic. Its raw formation energy is -1.304 eV/atom.

6.
Density functional theory data (PBE-GGA) for a relaxed Ag2P2PbO7 crystal.

Cell: 5.463 7.118 10.672 Å, 108.01 92.19 112.24°
Element x y z (fractional)
O 0.304 0.172 0.046
O 0.236 0.925 0.275
O 0.047 0.216 0.337
O 0.473 0.691 0.707
O 0.588 0.772 0.497
Pb 0.858 0.374 0.638
O 0.409 0.560 0.199
Ag 0.902 0.220 0.963
O 0.412 0.228 0.503
Ag 0.321 0.087 0.811
Pb 0.142 0.626 0.362
P 0.292 0.164 0.358
O 0.764 0.075 0.725
P 0.708 0.836 0.642
O 0.696 0.828 0.954
P 0.504 0.374 0.159
Ag 0.098 0.780 0.037
Ag 0.679 0.913 0.189
P 0.496 0.626 0.841
O 0.591 0.440 0.801
O 0.204 0.547 0.864
O 0.796 0.453 0.136
O 0.527 0.309 0.293
O 0.953 0.784 0.663

Properties
The value obtained for the total magnetization is 0.00 Bohr magnetons per cell. Its crystal system is triclinic. Its raw formation energy is -1.578 eV/atom. Its energy above the lowest structure with this stoichiometry is 0.00 eV/f.u.

7.
Density functional theory data (PBE-GGA) for a relaxed Ag2PPbO4 crystal.

Cell: 5.190 5.190 6.094 Å, 115.18 115.18 90.05°
Element x y z (fractional)
Pb 0.000 0.000 0.001
O 0.767 0.418 0.185
O 0.233 0.233 0.815
O 0.418 0.767 0.185
Ag 0.750 0.250 0.500
O 0.582 0.582 0.815
P 0.500 0.500 0.000
Ag 0.250 0.750 0.500

Properties
The value obtained for the total magnetization is 0.00 Bohr magnetons per cell. Its crystal system is tetragonal. Its raw formation energy is -1.138 eV/atom.

8.
Density functional theory data (PBE-GGA) for a relaxed AgPPdO5 crystal.

Cell: 5.600 5.600 7.216 Å, 105.60 105.60 102.41°
Each line ends with the local moment (μB).
Element x y z (fractional)
O 0.598 0.745 0.902  0.06
P 0.684 0.316 0.250  0.01
O 0.402 0.255 0.098  0.06
P 0.316 0.684 0.750  0.01
Pd 0.000 0.000 0.000  0.45
O 0.745 0.598 0.402  0.06
O 0.683 0.114 0.363  0.03
O 0.114 0.683 0.863  0.03
Ag 0.337 0.663 0.250  0.05
O 0.908 0.092 0.750  0.24
Ag 0.663 0.337 0.750  0.05
O 0.317 0.886 0.637  0.03
Pd 0.000 0.000 0.500  0.45
O 0.886 0.317 0.137  0.03
O 0.255 0.402 0.598  0.06
O 0.092 0.908 0.250  0.24

Properties
The value obtained for the total magnetization is 1.98 Bohr magnetons per cell. Its crystal system is monoclinic. Its raw formation energy is -1.032 eV/atom.